VASP calculation (PBE) on a relaxed LaH2I crystal.

Lattice parameters (Å, degrees): 4.6958 4.6958 4.6958 60.00 60.00 60.00
Positions (direct):
La 0.0000 0.0000 0.0000
H 0.2500 0.2500 0.2500
H 0.7500 0.7500 0.7500
I 0.5000 0.5000 0.5000

## Properties
Energy relative to the lowest polymorph listed for this composition (eV/atom): 0.5589
DOS at the Fermi energy (states/eV/f.u.): 0.1